# 1
First-principles (PBE) data for a relaxed structure of Nd2ZrUP4, as listed in Alexandria.

a = 3.976 Å, b = 6.868 Å, c = 6.961 Å
α = 109.05°, β = 90.00°, γ = 90.00°
Element x y z (fractional)
Nd: 0.500 0.000 0.500
Nd: 0.000 0.500 0.500
Zr: 0.000 0.000 0.000
U: 0.500 0.500 0.000
P: 0.500 0.239 0.225
P: 0.500 0.761 0.775
P: 0.000 0.253 0.772
P: 0.000 0.747 0.228

Values from the calculation:
Mass density, Mg/m³: 6.9
Space-group type: P2/m
Calculated formation energy, eV per atom: -1.345
Crystal system: monoclinic

# 2
First-principles (PBE) data for a relaxed structure of NdP2W, as listed in Alexandria.

a = 3.856 Å, b = 3.856 Å, c = 6.415 Å
α = 72.51°, β = 72.51°, γ = 60.00°
Element x y z (fractional)
P: 0.733 0.733 0.800
P: 0.267 0.267 0.200
Nd: 0.500 0.500 0.500
W: 0.000 0.000 0.000

Values from the calculation:
Mass density, Mg/m³: 8.4
Space-group type: R-3m
Calculated formation energy, eV per atom: -0.633
Crystal system: trigonal